{"formula": "Al5P3Se3", "functional": "PBE", "state": "relaxed", "energy_ev_per_atom": -4.84, "e_form_raw_ev_per_fu": -7.84, "rho_g_cm3": 3.1, "cell": [[3.888, 0.000, 0.000], [0.000, 5.568, 0.000], [0.000, 0.000, 11.672]], "species": ["Al", "Al", "Al", "Al", "Al", "P", "P", "P", "Se", "Se", "Se"], "fractional_positions": [[0.000, 0.008, 0.163], [0.000, 0.008, 0.837], [0.000, 0.003, 0.500], [0.500, 0.499, 0.664], [0.500, 0.499, 0.336], [0.000, 0.251, 0.667], [0.500, 0.753, 0.500], [0.000, 0.251, 0.333], [0.500, 0.735, 0.161], [0.000, 0.255, 0.000], [0.500, 0.735, 0.839]]}



{"formula": "CeGa3NiPt", "functional": "PBE", "state": "relaxed", "energy_ev_per_atom": -4.98, "formation_enthalpy_0k_ev_per_atom": -0.503, "rho_g_cm3": 9.2, "cell": [[5.967, 0.000, 0.000], [0.000, 6.075, 0.000], [0.000, -3.038, 6.021]], "species": ["Ce", "Ce", "Ga", "Ga", "Ga", "Ga", "Ga", "Ga", "Ni", "Ni", "Pt", "Pt"], "fractional_positions": [[0.750, 0.269, 0.538], [0.250, 0.731, 0.462], [0.250, 0.143, 0.285], [0.000, 0.287, 0.000], [0.500, 0.713, 0.000], [0.500, 0.287, 0.000], [0.000, 0.713, 0.000], [0.750, 0.857, 0.715], [0.250, 0.939, 0.877], [0.750, 0.061, 0.123], [0.250, 0.350, 0.700], [0.750, 0.650, 0.300]]}



{"formula": "Nb3TlRu", "functional": "PBE", "state": "relaxed", "energy_ev_per_atom": -7.50, "polymorph_energy_mev_per_atom": 0.0, "formation_enthalpy_0k_ev_per_atom": 0.870, "rho_g_cm3": 8.6, "cell": [[-2.265, -4.199, 0.811], [2.759, -0.734, 3.907], [-3.267, 2.291, 2.738]], "species": ["Ru", "Tl", "Nb", "Nb", "Nb"], "fractional_positions": [[0.000, 0.000, 0.000], [0.500, 0.500, 0.500], [0.000, 0.500, 0.000], [0.000, 0.000, 0.500], [0.500, 0.000, 0.000]]}



{"formula": "LaPr3Au2", "functional": "PBE", "state": "relaxed", "energy_ev_per_atom": -4.85, "polymorph_energy_mev_per_atom": 0.0, "formation_enthalpy_0k_ev_per_atom": -0.542, "rho_g_cm3": 8.8, "cell": [[5.162, 0.000, 0.000], [0.000, 7.411, 0.000], [0.000, 0.000, 9.434]], "species": ["La", "La", "Pr", "Pr", "Pr", "Pr", "Pr", "Pr", "Au", "Au", "Au", "Au"], "fractional_positions": [[0.500, 0.506, 0.576], [0.500, 0.006, 0.424], [0.000, 0.493, 0.927], [0.000, 0.993, 0.073], [0.500, 0.651, 0.162], [0.500, 0.151, 0.838], [0.000, 0.350, 0.336], [0.000, 0.850, 0.664], [0.500, 0.742, 0.846], [0.500, 0.242, 0.154], [0.000, 0.259, 0.656], [0.000, 0.759, 0.344]]}



{"formula": "KIr3", "functional": "PBE", "state": "relaxed", "energy_ev_per_atom": -6.43, "polymorph_energy_mev_per_atom": 0.0, "formation_enthalpy_0k_ev_per_atom": 0.493, "rho_g_cm3": 14.3, "cell": [[-1.443, -1.658, 1.705], [-0.612, -1.668, -2.141], [7.628, -4.931, 1.661]], "species": ["Ir", "Ir", "Ir", "K"], "fractional_positions": [[0.000, 0.000, 0.051], [0.500, 0.500, 0.250], [0.000, 0.000, 0.449], [0.500, 0.500, 0.750]]}



{"formula": "LiIn2Ge2", "functional": "PBE", "state": "relaxed", "energy_ev_per_atom": -3.25, "formation_enthalpy_0k_ev_per_atom": 0.078, "rho_g_cm3": 5.0, "cell": [[-0.961, -2.676, -3.900], [4.416, -1.934, 0.239], [-0.189, -6.285, 1.372]], "species": ["Ge", "Ge", "Li", "In", "In"], "fractional_positions": [[0.386, 0.386, 0.229], [0.614, 0.614, 0.771], [0.000, 0.000, 0.000], [0.750, 0.250, 0.500], [0.250, 0.750, 0.500]]}



no.,V (Å³/atom)
1,22.972
2,18.188
3,22.667
4,30.076
5,17.870
6,25.424